Here is crystalline Tm9Al2In at its relaxed geometry from the Alexandria database. Energies are from PBE.

Values from the calculation:
ΔH_f (0 K): -0.219 eV per atom
DFT total energy: -4.4248 eV/atom
total magnetization: 0.0 μB/cell

Structure (CIF):
```
data_Tm9Al2In
_symmetry_space_group_name_H-M 'P 4/m m m'
_symmetry_Int_Tables_number 123
_symmetry_space_group_name_Hall '-P 4 2'
_cell_length_a 4.7202
_cell_length_b 4.7202
_cell_length_c 14.1565
_cell_angle_alpha 90.00
_cell_angle_beta 90.00
_cell_angle_gamma 90.00
loop_
_atom_site_label
_atom_site_fract_x
_atom_site_fract_y
_atom_site_fract_z
Tm1 0.0000 0.0000 0.0000
Tm2 0.0000 0.0000 0.3355
Tm3 0.0000 0.5000 0.1721
Tm4 0.0000 0.5000 0.5000
Al1 0.5000 0.5000 0.3348
In1 0.5000 0.5000 0.0000
```

Here is crystalline Pa4Fe2Sb5 at its relaxed geometry from the Alexandria database. Energies are from PBE.

Values from the calculation:
DFT total energy: -7.2402 eV/atom
total magnetization: 0.0 μB/cell

Structure (CIF):
```
data_Pa4Fe2Sb5
_symmetry_space_group_name_H-M 'P 1 2/m 1'
_symmetry_Int_Tables_number 10
_cell_length_a 7.6441
_cell_length_b 3.8096
_cell_length_c 8.9417
_cell_angle_alpha 90.00
_cell_angle_beta 90.97
_cell_angle_gamma 90.00
loop_
_symmetry_equiv_pos_as_xyz
'x,y,z'
'-x,-y,-z'
'-x,y,-z'
'x,-y,z'
loop_
_atom_site_label
_atom_site_fract_x
_atom_site_fract_y
_atom_site_fract_z
Pa1 0.2087 0.0000 0.3617
Pa2 0.2161 0.0000 0.9344
Fe1 0.1144 0.5000 0.1239
Sb1 0.1249 0.5000 0.6594
Sb2 0.4517 0.5000 0.1636
Sb3 0.5000 0.5000 0.5000
```